Record 1
First-principles (PBE) data for a relaxed structure of NaHoAsO4, as listed in the Alexandria database.

Values from the calculation:
Symmetry: Imma, No. 74
Crystal system: orthorhombic

a b c (Å): 6.441 6.441 6.441
angles (deg): 120.08 117.14 92.44
Element x y z (fractional)
Na 0.500 0.000 0.000
Na 0.500 0.500 0.500
Ho 0.000 0.000 0.000
Ho 0.500 0.000 0.500
As 0.125 0.375 0.750
As 0.875 0.625 0.250
O 0.210 0.743 0.467
O 0.224 0.257 0.967
O 0.243 0.229 0.485
O 0.243 0.758 0.015
O 0.757 0.242 0.985
O 0.757 0.771 0.515
O 0.776 0.743 0.033
O 0.790 0.257 0.533

***

Record 2
First-principles (PBE) data for a relaxed structure of Rb3HoNp2O9, as listed in the Alexandria database.

Values from the calculation:
Symmetry: P-3m1, No. 164
Crystal system: trigonal

a b c (Å): 6.118 6.118 7.494
angles (deg): 90.00 90.00 120.00
Element x y z (fractional)
Rb 0.000 0.000 0.000
Rb 0.333 0.667 0.663
Rb 0.667 0.333 0.337
Ho 0.000 0.000 0.500
Np 0.333 0.667 0.167
Np 0.667 0.333 0.833
O 0.000 0.500 0.000
O 0.176 0.351 0.322
O 0.176 0.824 0.322
O 0.351 0.176 0.678
O 0.500 0.000 0.000
O 0.500 0.500 0.000
O 0.649 0.824 0.322
O 0.824 0.176 0.678
O 0.824 0.649 0.678

***

| no. | formation energy (no corrections) (meV per atom) |
| --- | --- |
| 1 | -2014 |
| 2 | -2693 |